Entry 1:
A relaxed structure of AcNd12Tm2, computed with PBE.

Unit cell a=7.2050 b=11.6933 c=25.3608 alpha=90.00 beta=90.00 gamma=90.00
Space group Cmme (No. 67)
One atom of each set of equivalent atoms:
Ac 0.0000 0.2500 0.0155 [4 per cell]
Nd 0.0000 0.0245 0.4407 [8 per cell]
Nd 0.0000 0.0255 0.9207 [8 per cell]
Nd 0.2309 0.2500 0.5844 [8 per cell]
Nd 0.2390 0.2500 0.1424 [8 per cell]
Nd 0.2500 0.0000 0.2029 [8 per cell]
Nd 0.2500 0.0000 0.3269 [8 per cell]
Tm 0.0000 0.2500 0.2751 [4 per cell]
Tm 0.0000 0.2500 0.7290 [4 per cell]

Summary:
For the formation energy, the calculation gives 0.160 eV per atom. The total energy comes out at -271.44 eV for the cell shown.


Entry 2:
A relaxed structure of Ac2Nd7Tm2, computed with PBE.

Unit cell a=6.9504 b=12.4631 c=9.6662 alpha=90.00 beta=90.00 gamma=90.00
Space group Cmmm (No. 65)
One atom of each set of equivalent atoms:
Ac 0.2482 0.0000 0.0000 [4 per cell]
Nd 0.0000 0.0000 0.5000 [2 per cell]
Nd 0.0000 0.5000 0.3259 [4 per cell]
Nd 0.2500 0.2500 0.1921 [8 per cell]
Tm 0.0000 0.2663 0.5000 [4 per cell]

Summary:
The calculation puts the relative energy among the computed polymorphs at 0.145 eV/atom. For the formation energy, the calculation gives 0.343 eV per atom. The total energy comes out at -93.53 eV for the cell shown.


Entry 3:
A relaxed structure of AcNdTm2, computed with PBE.

Unit cell a=8.2517 b=8.2517 c=8.2517 alpha=90.00 beta=90.00 gamma=90.00
Space group Fm-3m (No. 225)
One atom of each set of equivalent atoms:
Ac 0.0000 0.0000 0.0000 [4 per cell]
Nd 0.0000 0.0000 0.5000 [4 per cell]
Tm 0.2500 0.2500 0.2500 [8 per cell]

Summary:
The calculation puts the relative energy among the computed polymorphs at 0.049 eV/atom. For the formation energy, the calculation gives 0.099 eV per atom. The total energy comes out at -69.69 eV for the cell shown.


Entry 4:
A relaxed structure of Ac3Nd3Tm, computed with PBE.

Unit cell a=13.9500 b=5.6457 c=14.1074 alpha=90.00 beta=90.00 gamma=90.00
Space group Pnma (No. 62)
One atom of each set of equivalent atoms:
Ac 0.0915 0.2500 0.0613 [4 per cell]
Ac 0.0947 0.2500 0.5571 [4 per cell]
Ac 0.1864 0.7500 0.3594 [4 per cell]
Nd 0.0347 0.2500 0.3115 [4 per cell]
Nd 0.1618 0.7500 0.9339 [4 per cell]
Nd 0.2071 0.7500 0.6995 [4 per cell]
Tm 0.0473 0.2500 0.8125 [4 per cell]

Summary:
For the formation energy, the calculation gives 0.185 eV per atom. The total energy comes out at -119.22 eV for the cell shown.


Entry 5:
A relaxed structure of Ac7NdTm2, computed with PBE.

Unit cell a=10.1490 b=16.3920 c=6.1408 alpha=90.00 beta=90.00 gamma=90.00
Space group Cmmm (No. 65)
One atom of each set of equivalent atoms:
Ac 0.0000 0.0000 0.0000 [2 per cell]
Ac 0.0000 0.2571 0.5000 [4 per cell]
Ac 0.1854 0.3748 0.0000 [8 per cell]
Nd 0.0000 0.5000 0.5000 [2 per cell]
Tm 0.0000 0.2015 0.0000 [4 per cell]

Summary:
For the formation energy, the calculation gives 0.621 eV per atom. The total energy comes out at -72.52 eV for the cell shown.


Entry 6:
A relaxed structure of Ac3Nd5Tm12, computed with PBE.

Unit cell a=19.2404 b=19.2404 c=19.2404 alpha=90.00 beta=90.00 gamma=90.00
Space group Ia-3d (No. 230)
One atom of each set of equivalent atoms:
Ac 0.0000 0.2500 0.1250 [24 per cell]
Nd 0.0000 0.0000 0.0000 [16 per cell]
Nd 0.0000 0.2500 0.3750 [24 per cell]
Tm 0.0007 0.0765 0.6466 [96 per cell]

Summary:
For the formation energy, the calculation gives 1.072 eV per atom. The total energy comes out at -547.07 eV for the cell shown.


Entry 7:
A relaxed structure of AcNd3Tm7, computed with PBE.

Unit cell a=7.0768 b=7.0768 c=8.7558 alpha=90.00 beta=90.00 gamma=120.00
Space group P3m1 (No. 156)
One atom of each set of equivalent atoms:
Ac 0.0000 0.0000 0.0000 [1 per cell]
Nd 0.1678 0.3357 0.3433 [3 per cell]
Tm 0.0018 0.5009 0.9981 [3 per cell]
Tm 0.3333 0.6667 0.6783 [1 per cell]
Tm 0.3354 0.1677 0.6734 [3 per cell]

Summary:
For the formation energy, the calculation gives 0.205 eV per atom. The total energy comes out at -47.46 eV for the cell shown.


Entry 8:
A relaxed structure of Ac2NdTm, computed with PBE.

Unit cell a=3.7178 b=3.7178 c=39.5167 alpha=90.00 beta=90.00 gamma=120.00
Space group R-3m (No. 166, hexagonal axes)
One atom of each set of equivalent atoms:
Ac 0.0000 0.0000 0.0874 [6 per cell]
Nd 0.0000 0.0000 0.5000 [3 per cell]
Tm 0.0000 0.0000 0.0000 [3 per cell]

Summary:
The calculation puts the relative energy among the computed polymorphs at 0.215 eV/atom. For the formation energy, the calculation gives 0.256 eV per atom. The total energy comes out at -49.29 eV for the cell shown.


Entry 9:
A relaxed structure of AcNd3Tm, computed with PBE.

Unit cell a=22.8710 b=3.7546 c=8.7726 alpha=90.00 beta=105.30 gamma=90.00
Space group C2/m (No. 12)
One atom of each set of equivalent atoms:
Ac 0.2143 0.0000 0.3082 [4 per cell]
Nd 0.0784 0.5000 0.0727 [4 per cell]
Nd 0.1098 0.5000 0.5120 [4 per cell]
Nd 0.1780 0.0000 0.8746 [4 per cell]
Tm 0.0164 0.0000 0.7143 [4 per cell]

Summary:
The calculation puts the relative energy among the computed polymorphs at 0.000 eV/atom. For the formation energy, the calculation gives 0.045 eV per atom. The total energy comes out at -90.64 eV for the cell shown.


Entry 10:
A relaxed structure of Ac4NdTm, computed with PBE.

Unit cell a=10.1086 b=10.1086 c=10.1086 alpha=90.00 beta=90.00 gamma=90.00
Space group F-43m (No. 216)
One atom of each set of equivalent atoms:
Ac 0.1243 0.1243 0.3757 [16 per cell]
Nd 0.0000 0.0000 0.0000 [4 per cell]
Tm 0.2500 0.2500 0.7500 [4 per cell]

Summary:
The calculation puts the relative energy among the computed polymorphs at 0.213 eV/atom. For the formation energy, the calculation gives 0.368 eV per atom. The total energy comes out at -93.87 eV for the cell shown.


Entry 11:
A relaxed structure of Ac7Nd3Tm, computed with PBE.

Unit cell a=12.2840 b=11.1901 c=6.9357 alpha=90.00 beta=96.22 gamma=90.00
Space group C2/m (No. 12)
One atom of each set of equivalent atoms:
Ac 0.0000 0.0000 0.0000 [2 per cell]
Ac 0.2386 0.5000 0.2274 [4 per cell]
Ac 0.2492 0.1703 0.2605 [8 per cell]
Nd 0.0000 0.3367 0.0000 [4 per cell]
Nd 0.0000 0.5000 0.5000 [2 per cell]
Tm 0.0000 0.0000 0.5000 [2 per cell]

Summary:
For the formation energy, the calculation gives 0.271 eV per atom. The total energy comes out at -89.11 eV for the cell shown.


Entry 12:
A relaxed structure of AcNd10Tm6, computed with PBE.

Unit cell a=9.8838 b=9.8838 c=6.9470 alpha=90.00 beta=90.00 gamma=120.00
Space group P-31m (No. 162)
One atom of each set of equivalent atoms:
Ac 0.0000 0.0000 0.0000 [1 per cell]
Nd 0.0000 0.2844 0.3282 [6 per cell]
Nd 0.3333 0.6667 0.0000 [2 per cell]
Nd 0.3333 0.6667 0.5000 [2 per cell]
Tm 0.0000 0.3678 0.8185 [6 per cell]

Summary:
For the formation energy, the calculation gives 0.136 eV per atom. The total energy comes out at -76.30 eV for the cell shown.